(1)
Te2AsCl: relaxed, GGA-PBE.

The structure belongs to space group R-3m (No. 166, hexagonal axes); the cell edges are 4.0841, 4.0841 and 26.3344 Å and the angles 90.00°, 90.00° and 120.00°. The distinct sites, in fractional coordinates, are Te at (0.0000, 0.0000, 0.1018), As at (0.0000, 0.0000, 0.5000) and Cl at (0.0000, 0.0000, 0.0000).

The value obtained for the density of states at the Fermi level is 4.70 states/eV/cell. The calculation puts the uncorrected formation energy at -0.021 eV/atom.

=====

(2)
TeAs3Cl: relaxed, GGA-PBE.

The structure belongs to space group Pm-3m (No. 221); the cell edges are 4.9611, 4.9611 and 4.9611 Å and the angles 90.00°, 90.00° and 90.00°. The distinct sites, in fractional coordinates, are Te at (0.0000, 0.0000, 0.0000), As at (0.0000, 0.5000, 0.5000) and Cl at (0.5000, 0.5000, 0.5000).

The value obtained for the density of states at the Fermi level is 4.44 states/eV/cell. The calculation puts the uncorrected formation energy at 1.017 eV/atom.

=====

(3)
TeAsCl2: relaxed, GGA-PBE.

The structure belongs to space group Pm (No. 6); the cell edges are 5.7290, 3.8674 and 6.5065 Å and the angles 90.00°, 94.21° and 90.00°. The distinct sites, in fractional coordinates, are Te at (0.0000, 0.0000, 0.0000), As at (0.1497, 0.5000, 0.2646), Cl at (0.5114, 0.0000, 0.0247) and Cl at (0.8639, 0.5000, 0.4816).

The value obtained for the density of states at the Fermi level is 0.70 states/eV/cell. The calculation puts the uncorrected formation energy at -0.306 eV/atom.

=====

(4)
Te2AsCl: relaxed, GGA-PBE.

The structure belongs to space group P4mm (No. 99); the cell edges are 3.3149, 3.3149 and 10.7938 Å and the angles 90.00°, 90.00° and 90.00°. The distinct sites, in fractional coordinates, are Te at (0.0000, 0.0000, 0.0000), Te at (0.5000, 0.5000, 0.3278), As at (0.0000, 0.0000, 0.4885) and Cl at (0.5000, 0.5000, 0.6504).

The value obtained for the density of states at the Fermi level is 1.91 states/eV/cell. The calculation puts the uncorrected formation energy at 0.243 eV/atom.

=====

(5)
TeAsCl2: relaxed, GGA-PBE.

The structure belongs to space group Fm-3m (No. 225); the cell edges are 7.1282, 7.1282 and 7.1282 Å and the angles 90.00°, 90.00° and 90.00°. The distinct sites, in fractional coordinates, are Te at (0.0000, 0.0000, 0.0000), As at (0.0000, 0.0000, 0.5000) and Cl at (0.2500, 0.2500, 0.2500).

The value obtained for the density of states at the Fermi level is 13.38 states/eV/cell. The calculation puts the uncorrected formation energy at 0.508 eV/atom.

=====

(6)
TeAsCl2: relaxed, GGA-PBE.

The structure belongs to space group P4/mmm (No. 123); the cell edges are 4.3979, 4.3979 and 4.5829 Å and the angles 90.00°, 90.00° and 90.00°. The distinct sites, in fractional coordinates, are Te at (0.0000, 0.0000, 0.0000), As at (0.5000, 0.5000, 0.0000) and Cl at (0.0000, 0.5000, 0.5000).

The value obtained for the density of states at the Fermi level is 3.23 states/eV/cell. The calculation puts the uncorrected formation energy at 0.341 eV/atom.

=====

(7)
TeAsCl2: relaxed, GGA-PBE.

The structure belongs to space group P4mm (No. 99); the cell edges are 4.2145, 4.2145 and 7.5037 Å and the angles 90.00°, 90.00° and 90.00°. The distinct sites, in fractional coordinates, are Te at (0.0000, 0.0000, 0.0000), As at (0.5000, 0.5000, 0.0227), Cl at (0.0000, 0.0000, 0.3178) and Cl at (0.5000, 0.5000, 0.7251).

The value obtained for the density of states at the Fermi level is 0.54 states/eV/cell. The calculation puts the uncorrected formation energy at -0.269 eV/atom.

=====

(8)
TeAsCl2: relaxed, GGA-PBE.

The structure belongs to space group P2/m (No. 10); the cell edges are 4.7120, 3.2670 and 5.9089 Å and the angles 90.00°, 90.07° and 90.00°. The distinct sites, in fractional coordinates, are Te at (0.0000, 0.0000, 0.0000), As at (0.0000, 0.5000, 0.5000), Cl at (0.5000, 0.0000, 0.5000) and Cl at (0.5000, 0.5000, 0.0000).

The value obtained for the density of states at the Fermi level is 2.15 states/eV/cell. The calculation puts the uncorrected formation energy at 0.198 eV/atom.